1.
{"formula": "Re2Rh3", "functional": "GGA-PBEsol", "state": "optimized geometry", "lattice": [[2.6835, 0.0000, 0.0000], [0.0000, 3.8402, 0.0000], [-1.3417, -1.9201, 6.7074]], "species": ["Rh", "Rh", "Rh", "Re", "Re"], "frac_coords": [[0.3038, 0.3038, 0.6076], [0.5000, 0.5000, 0.0000], [0.6962, 0.6962, 0.3924], [0.8982, 0.8982, 0.7965], [0.1018, 0.1018, 0.2035]], "volume_a3_per_atom": 13.82, "space_group": "Immm", "dos_ef_per_ev_cell": 3.51, "polymorph_energy_kj_per_mol_atoms": 0.0, "density_g_cm3": 16.36}

2.
{"formula": "Be2Pt", "functional": "GGA-PBEsol", "state": "optimized geometry", "lattice": [[-2.1359, 0.8214, 1.4841], [-0.9577, -3.5970, 0.6125], [4.5194, -0.4775, 4.2621]], "species": ["Be", "Be", "Be", "Be", "Pt", "Pt"], "frac_coords": [[0.9419, 0.2500, 0.8839], [0.7317, 0.7500, 0.4634], [0.2683, 0.2500, 0.5366], [0.0581, 0.7500, 0.1161], [0.6094, 0.2500, 0.2189], [0.3906, 0.7500, 0.7811]], "volume_a3_per_atom": 10.43, "space_group": "Cmcm", "dos_ef_per_ev_cell": 1.74, "polymorph_energy_kj_per_mol_atoms": 6.5, "density_g_cm3": 11.31}

3.
{"formula": "Al2ZnSi2", "functional": "GGA-PBEsol", "state": "optimized geometry", "lattice": [[3.4269, 0.0000, 0.0000], [0.0000, 3.4269, 0.0000], [-1.7135, -1.7135, 7.0188]], "species": ["Si", "Si", "Al", "Al", "Zn"], "frac_coords": [[0.7500, 0.2500, 0.5000], [0.2500, 0.7500, 0.5000], [0.4005, 0.4005, 0.8010], [0.5995, 0.5995, 0.1990], [0.0000, 0.0000, 0.0000]], "volume_a3_per_atom": 16.49, "formation_energy_uncorrected_ev_per_atom": 0.208, "space_group": "I4/mmm", "dos_ef_per_ev_cell": 1.74, "density_g_cm3": 3.54}

4.
{"formula": "ZrSbH3", "functional": "GGA-PBEsol", "state": "optimized geometry", "lattice": [[3.8788, 0.0000, 0.0000], [0.0000, 3.8788, 0.0000], [0.0000, 0.0000, 3.8788]], "species": ["Zr", "H", "H", "H", "Sb"], "frac_coords": [[0.5000, 0.5000, 0.5000], [0.5000, 0.0000, 0.0000], [0.0000, 0.5000, 0.0000], [0.0000, 0.0000, 0.5000], [0.0000, 0.0000, 0.0000]], "volume_a3_per_atom": 11.67, "space_group": "Pm-3m", "dos_ef_per_ev_cell": 3.75, "polymorph_energy_kj_per_mol_atoms": 72.7, "density_g_cm3": 6.15}

5.
{"formula": "Fe2SnGePb", "functional": "GGA-PBEsol", "state": "optimized geometry", "lattice": [[-1.9248, 4.0481, 0.6746], [-2.4753, -1.7395, 3.3754], [3.9075, 1.2713, 3.5206]], "species": ["Pb", "Fe", "Fe", "Sn", "Ge"], "frac_coords": [[0.0000, 0.0000, 0.5000], [0.5000, 0.0000, 0.0000], [0.0000, 0.5000, 0.0000], [0.5000, 0.5000, 0.5000], [0.0000, 0.0000, 0.0000]], "volume_a3_per_atom": 22.24, "energy_ev_per_cell": -26.7, "space_group": "P4/mmm", "dos_ef_per_ev_cell": 5.81, "density_g_cm3": 7.62}

6.
{"formula": "Tm2CdCu2", "functional": "GGA-PBEsol", "state": "optimized geometry", "lattice": [[-0.1547, -0.5043, 3.5771], [-0.1575, -7.2269, -1.0257], [7.2926, -0.1997, 0.2873]], "species": ["Cd", "Cd", "Tm", "Tm", "Tm", "Tm", "Cu", "Cu", "Cu", "Cu"], "frac_coords": [[0.0000, 0.0000, 0.0000], [0.0000, 0.5000, 0.5000], [0.5000, 0.8265, 0.6735], [0.5000, 0.1735, 0.3265], [0.5000, 0.3265, 0.8265], [0.5000, 0.6735, 0.1735], [0.0000, 0.3792, 0.1208], [0.0000, 0.6208, 0.8792], [0.0000, 0.8792, 0.3792], [0.0000, 0.1208, 0.6208]], "volume_a3_per_atom": 19.27, "energy_ev_per_cell": -42.6, "space_group": "P4/mbm", "dos_ef_per_ev_cell": 7.52, "density_g_cm3": 9.95}

7.
{"formula": "RbGe2Ir", "functional": "GGA-PBEsol", "state": "optimized geometry", "lattice": [[-2.0278, -2.1759, -3.6537], [2.5251, -0.9814, -3.8544], [1.1265, -4.4628, -1.0049]], "species": ["Rb", "Ir", "Ge", "Ge"], "frac_coords": [[0.0000, 0.0000, 0.0000], [0.5000, 0.5000, 0.5000], [0.7500, 0.7500, 0.7500], [0.2500, 0.2500, 0.2500]], "volume_a3_per_atom": 18.49, "energy_ev_per_cell": -18.6, "space_group": "Fm-3m", "dos_ef_per_ev_cell": 1.36, "density_g_cm3": 9.50}

8.
{"formula": "Rb3IrPt", "functional": "GGA-PBEsol", "state": "optimized geometry", "lattice": [[-5.5735, -1.0700, -1.7495], [2.0432, -3.3302, -4.4727], [-0.1752, -4.7994, 3.4934]], "species": ["Pt", "Rb", "Rb", "Rb", "Ir"], "frac_coords": [[0.5000, 0.5000, 0.5000], [0.0000, 0.0000, 0.5000], [0.5000, 0.0000, 0.0000], [0.0000, 0.5000, 0.0000], [0.0000, 0.0000, 0.0000]], "volume_a3_per_atom": 41.89, "energy_ev_per_cell": -13.4, "space_group": "Pm-3m", "dos_ef_per_ev_cell": 18.00, "density_g_cm3": 5.10}

9.
{"formula": "KMn2Zn", "functional": "GGA-PBEsol", "state": "optimized geometry", "lattice": [[-3.9938, 1.1044, -2.5279], [-1.8476, -3.2058, -3.1417], [-4.1952, -2.2304, 0.9933]], "species": ["Zn", "Mn", "Mn", "K"], "frac_coords": [[0.2500, 0.2500, 0.2500], [0.7500, 0.7500, 0.7500], [0.0000, 0.0000, 0.0000], [0.5000, 0.5000, 0.5000]], "volume_a3_per_atom": 20.22, "energy_ev_per_cell": -17.6, "space_group": "F-43m", "dos_ef_per_ev_cell": 3.72, "density_g_cm3": 4.40}

10.
{"formula": "La2YZn", "functional": "GGA-PBEsol", "state": "optimized geometry", "lattice": [[3.7153, 0.0000, 0.0000], [0.0000, 5.4556, 0.0000], [-1.8576, -2.7278, 5.6506]], "species": ["Y", "La", "La", "Zn"], "frac_coords": [[0.5394, 0.5394, 0.0789], [0.7536, 0.2536, 0.5072], [0.9655, 0.9655, 0.9310], [0.2415, 0.7415, 0.4830]], "volume_a3_per_atom": 28.63, "space_group": "Imm2", "dos_ef_per_ev_cell": 4.22, "polymorph_energy_kj_per_mol_atoms": 2.5, "density_g_cm3": 6.27}

11.
{"formula": "FeNiPt2", "functional": "GGA-PBEsol", "state": "optimized geometry", "lattice": [[-2.5049, 2.4809, 0.8783], [0.3104, -0.9842, 3.6652], [2.7406, 2.6019, 0.4666]], "species": ["Ni", "Pt", "Pt", "Fe"], "frac_coords": [[0.5000, 0.0000, 0.0000], [0.0000, 0.5000, 0.0000], [0.0000, 0.0000, 0.5000], [0.5000, 0.5000, 0.5000]], "volume_a3_per_atom": 13.17, "energy_ev_per_cell": -29.8, "space_group": "P4/mmm", "dos_ef_per_ev_cell": 3.09, "density_g_cm3": 15.91}

12.
{"formula": "Sr2Co", "functional": "GGA-PBEsol", "state": "optimized geometry", "lattice": [[5.2107, 0.0000, 0.0000], [-2.6053, 4.5126, 0.0000], [0.0000, 0.0000, 7.2721]], "species": ["Co", "Co", "Sr", "Sr", "Sr", "Sr"], "frac_coords": [[0.3333, 0.6667, 0.2500], [0.6667, 0.3333, 0.7500], [0.0000, 0.0000, 0.5000], [0.3333, 0.6667, 0.7500], [0.6667, 0.3333, 0.2500], [0.0000, 0.0000, 0.0000]], "volume_a3_per_atom": 28.50, "energy_ev_per_cell": -19.3, "space_group": "P6_3/mmc", "dos_ef_per_ev_cell": 9.79, "density_g_cm3": 4.55}

13.
{"formula": "Li2NbNi", "functional": "GGA-PBEsol", "state": "optimized geometry", "lattice": [[-1.8120, -4.4025, 0.7994], [2.8640, -4.1637, -1.8626], [1.4822, -2.4261, 4.5744]], "species": ["Li", "Li", "Li", "Li", "Nb", "Nb", "Ni", "Ni"], "frac_coords": [[0.5844, 0.0406, 0.5406], [0.8750, 0.5406, 0.9594], [0.1656, 0.9594, 0.4594], [0.3750, 0.4594, 0.0406], [0.7500, 0.5000, 0.5000], [0.0000, 0.0000, 0.0000], [0.2500, 0.5000, 0.5000], [0.5000, 0.0000, 0.0000]], "volume_a3_per_atom": 13.99, "energy_ev_per_cell": -36.5, "space_group": "I-42d", "dos_ef_per_ev_cell": 9.88, "density_g_cm3": 4.91}

14.
{"formula": "DyCuSn", "functional": "GGA-PBEsol", "state": "optimized geometry", "lattice": [[4.4559, 0.0000, 0.0000], [-2.2279, 3.8589, 0.0000], [0.0000, 0.0000, 7.2527]], "species": ["Cu", "Cu", "Dy", "Dy", "Sn", "Sn"], "frac_coords": [[0.3333, 0.6667, 0.2500], [0.6667, 0.3333, 0.7500], [0.0000, 0.0000, 0.0000], [0.0000, 0.0000, 0.5000], [0.6667, 0.3333, 0.2500], [0.3333, 0.6667, 0.7500]], "volume_a3_per_atom": 20.78, "energy_ev_per_cell": -30.7, "space_group": "P6_3/mmc", "dos_ef_per_ev_cell": 2.29, "density_g_cm3": 9.18}

15.
{"formula": "NaTcHg2", "functional": "GGA-PBEsol", "state": "optimized geometry", "lattice": [[4.7391, 0.0000, 0.0000], [2.3696, 4.1042, 0.0000], [2.3696, 1.3681, 3.8695]], "species": ["Hg", "Hg", "Na", "Tc"], "frac_coords": [[0.2500, 0.2500, 0.2500], [0.7500, 0.7500, 0.7500], [0.0000, 0.0000, 0.0000], [0.5000, 0.5000, 0.5000]], "volume_a3_per_atom": 18.82, "energy_ev_per_cell": -11.7, "space_group": "Fm-3m", "dos_ef_per_ev_cell": 2.98, "density_g_cm3": 11.52}

16.
{"formula": "MgSnAs2", "functional": "GGA-PBEsol", "state": "optimized geometry", "lattice": [[6.0903, 0.0000, 0.0000], [0.0000, 6.0903, 0.0000], [-3.0452, -3.0452, 5.9495]], "species": ["As", "As", "As", "As", "Sn", "Sn", "Mg", "Mg"], "frac_coords": [[0.8751, 0.3750, 0.2500], [0.1250, 0.1249, 0.7500], [0.3749, 0.8750, 0.2500], [0.6250, 0.6251, 0.7500], [0.2500, 0.7500, 0.5000], [0.0000, 0.0000, 0.0000], [0.5000, 0.5000, 0.0000], [0.7500, 0.2500, 0.5000]], "volume_a3_per_atom": 27.59, "space_group": "I-42d", "polymorph_energy_kj_per_mol_atoms": 0.0, "density_g_cm3": 4.41}

17.
{"formula": "FePPtCl2", "functional": "GGA-PBEsol", "state": "optimized geometry", "lattice": [[4.5797, 0.0000, 0.0000], [0.0000, 4.8305, 0.0000], [0.0000, 0.0000, 4.8305]], "species": ["Fe", "Pt", "P", "Cl", "Cl"], "frac_coords": [[0.5000, 0.5000, 0.5000], [0.0000, 0.0000, 0.0000], [0.5000, 0.0000, 0.0000], [0.0000, 0.0000, 0.5000], [0.0000, 0.5000, 0.0000]], "volume_a3_per_atom": 21.37, "formation_energy_uncorrected_ev_per_atom": 0.733, "space_group": "P4/mmm", "dos_ef_per_ev_cell": 3.96, "density_g_cm3": 5.48}

18.
{"formula": "Ti4MnP6O24", "functional": "GGA-PBEsol", "state": "optimized geometry", "lattice": [[8.5896, 0.0000, 0.0000], [4.2948, 7.4388, 0.0000], [4.2948, 2.4796, 6.9604]], "species": ["O", "O", "O", "O", "O", "O", "O", "O", "O", "O", "O", "O", "O", "O", "O", "O", "O", "O", "O", "O", "O", "O", "O", "O", "P", "P", "P", "P", "P", "P", "Ti", "Ti", "Ti", "Ti", "Mn"], "frac_coords": [[0.6178, 0.9889, 0.5762], [0.7036, 0.4946, 0.9377], [0.5874, 0.4445, 0.7491], [0.2189, 0.5874, 0.7491], [0.7811, 0.4126, 0.2509], [0.8172, 0.6178, 0.5762], [0.1360, 0.2964, 0.0623], [0.5054, 0.1360, 0.0623], [0.3822, 0.0111, 0.4238], [0.5555, 0.7811, 0.2509], [0.9193, 0.2620, 0.7644], [0.0111, 0.1828, 0.4238], [0.4445, 0.2189, 0.7491], [0.0807, 0.7380, 0.2356], [0.0542, 0.9193, 0.7644], [0.2620, 0.0542, 0.7644], [0.1828, 0.3822, 0.4238], [0.7380, 0.9458, 0.2356], [0.4946, 0.8640, 0.9377], [0.9458, 0.0807, 0.2356], [0.2964, 0.5054, 0.0623], [0.9889, 0.8172, 0.5762], [0.4126, 0.5555, 0.2509], [0.8640, 0.7036, 0.9377], [0.2465, 0.5441, 0.2396], [0.5441, 0.9697, 0.2396], [0.0303, 0.7535, 0.7604], [0.9697, 0.2465, 0.2396], [0.4559, 0.0303, 0.7604], [0.7535, 0.4559, 0.7604], [0.3671, 0.3671, 0.8988], [0.6329, 0.6329, 0.1012], [0.8539, 0.8539, 0.4384], [0.1461, 0.1461, 0.5616], [0.0000, 0.0000, 0.0000]], "volume_a3_per_atom": 12.71, "formation_energy_uncorrected_ev_per_atom": -2.500, "space_group": "R-3", "density_g_cm3": 3.05}

19.
{"formula": "BaV2CuO7", "functional": "GGA-PBEsol", "state": "optimized geometry", "lattice": [[-4.2288, -3.3322, 0.9959], [4.5777, -4.7762, 3.4576], [-2.4779, 7.0258, 12.9859]], "species": ["O", "O", "O", "O", "O", "O", "O", "O", "O", "O", "O", "O", "O", "O", "O", "O", "O", "O", "O", "O", "O", "O", "O", "O", "O", "O", "O", "O", "V", "V", "V", "V", "V", "V", "V", "V", "Ba", "Ba", "Ba", "Ba", "Cu", "Cu", "Cu", "Cu"], "frac_coords": [[0.7500, 0.6185, 0.8741], [0.7500, 0.9215, 0.9974], [0.2500, 0.3815, 0.1259], [0.7500, 0.1413, 0.5182], [0.0015, 0.9383, 0.8369], [0.9985, 0.0617, 0.1631], [0.2500, 0.6413, 0.9818], [0.0016, 0.2031, 0.3569], [0.4985, 0.9383, 0.8369], [0.4985, 0.5617, 0.3369], [0.2500, 0.4215, 0.5026], [0.2500, 0.0785, 0.0026], [0.7500, 0.5785, 0.4974], [0.9984, 0.7031, 0.1431], [0.5015, 0.0617, 0.1631], [0.2500, 0.8587, 0.4818], [0.5016, 0.7031, 0.1431], [0.7500, 0.3587, 0.0182], [0.9984, 0.7969, 0.6431], [0.7500, 0.8815, 0.3741], [0.9985, 0.4383, 0.6631], [0.0015, 0.5617, 0.3369], [0.0016, 0.2969, 0.8569], [0.2500, 0.1185, 0.6259], [0.4984, 0.2031, 0.3569], [0.4984, 0.2969, 0.8569], [0.5015, 0.4383, 0.6631], [0.5016, 0.7969, 0.6431], [0.7500, 0.8572, 0.8939], [0.7500, 0.3858, 0.9093], [0.2500, 0.8858, 0.5907], [0.7500, 0.1142, 0.4093], [0.2500, 0.6142, 0.0907], [0.7500, 0.6428, 0.3939], [0.2500, 0.1428, 0.1061], [0.2500, 0.3572, 0.6061], [0.2500, 0.8822, 0.2990], [0.7500, 0.3822, 0.2010], [0.7500, 0.1178, 0.7010], [0.2500, 0.6178, 0.7990], [0.2500, 0.3855, 0.3664], [0.7500, 0.6145, 0.6336], [0.2500, 0.1145, 0.8664], [0.7500, 0.8855, 0.1336]], "volume_a3_per_atom": 13.91, "formation_energy_uncorrected_ev_per_atom": -2.232, "space_group": "Pnma", "density_g_cm3": 4.50}

20.
{"formula": "Zr2ScAl", "functional": "GGA-PBEsol", "state": "optimized geometry", "lattice": [[-2.4206, 1.7883, 0.9664], [-2.5143, -3.3688, -0.0640], [1.4586, -1.2003, 5.8745]], "species": ["Zr", "Zr", "Al", "Sc"], "frac_coords": [[0.0000, 0.0000, 0.2427], [0.0000, 0.0000, 0.7573], [0.5000, 0.5000, 0.0000], [0.5000, 0.5000, 0.5000]], "volume_a3_per_atom": 20.50, "energy_ev_per_cell": -29.7, "space_group": "Pmmm", "dos_ef_per_ev_cell": 4.31, "density_g_cm3": 5.15}